Run i
Density functional theory data (PBEsol) for crystalline CrMoW2 at its relaxed geometry.

Geometry as CIF:
```
data_CrMoW2
_space_group_name_H-M_alt 'P 1'
_space_group_IT_number 1
_space_group_name_Hall 'P 1'
_cell_length_a 2.6836
_cell_length_b 2.6836
_cell_length_c 8.6000
_cell_angle_alpha 90.00
_cell_angle_beta 90.00
_cell_angle_gamma 109.85
loop_
_atom_site_label
_atom_site_type_symbol
_atom_site_fract_x
_atom_site_fract_y
_atom_site_fract_z
Cr1 Cr 0.0000 0.0000 0.0000
Mo1 Mo 0.0000 0.0000 0.5000
W1 W 0.5000 0.5000 0.2383
W2 W 0.5000 0.5000 0.7617
```

Calculated values
Its crystal system is orthorhombic. The calculation puts the density of states at the Fermi level at 2.133 states/eV per cell.

---

Run ii
Density functional theory data (PBEsol) for crystalline CrMoW2 at its relaxed geometry.

Geometry as CIF:
```
data_CrMoW2
_space_group_name_H-M_alt 'P 1'
_space_group_IT_number 1
_space_group_name_Hall 'P 1'
_cell_length_a 2.6824
_cell_length_b 2.6824
_cell_length_c 8.6031
_cell_angle_alpha 90.00
_cell_angle_beta 90.00
_cell_angle_gamma 109.76
loop_
_atom_site_label
_atom_site_type_symbol
_atom_site_fract_x
_atom_site_fract_y
_atom_site_fract_z
Cr1 Cr 0.0000 0.0000 0.0000
Mo1 Mo 0.5000 0.5000 0.7642
W1 W 0.0000 0.0000 0.5021
W2 W 0.5000 0.5000 0.2382
```

Calculated values
Its crystal system is orthorhombic. The calculation puts the density of states at the Fermi level at 2.251 states/eV per cell.

---

Most stable structure, least stable structure: run i, run ii.